(1)
An optimized crystal structure of InSi2Au, computed with GGA-PBE.

Cell: 3.166 3.166 7.522 Å, 90.00 90.00 90.00°
Space group P4mm (No. 99)
One atom of each set of equivalent atoms:
1 In 0.000 0.000 0.000 [1 per cell]
2 Si 0.000 0.000 0.489 [1 per cell]
3 Si 0.500 0.500 0.323 [1 per cell]
4 Au 0.500 0.500 0.713 [1 per cell]

The density of states at the Fermi level comes out at 1.4 states/eV/f.u. The calculation puts the uncorrected formation energy at 280 meV per atom. The total energy comes out at -3.936 eV/atom. Its size of the total moment is 0.0 μB/cell.



(2)
An optimized crystal structure of TlSbBr2, computed with GGA-PBE.

Cell: 3.706 4.703 7.376 Å, 90.00 91.04 90.00°
Space group P2/m (No. 10)
One atom of each set of equivalent atoms:
1 Tl 0.000 0.000 0.000 [1 per cell]
2 Sb 0.500 0.000 0.500 [1 per cell]
3 Br 0.494 0.500 0.744 [2 per cell]

The density of states at the Fermi level comes out at 1.7 states/eV/f.u. The calculation puts the uncorrected formation energy at -327 meV per atom. The total energy comes out at -2.786 eV/atom. Its size of the total moment is 0.0 μB/cell.



(3)
An optimized crystal structure of BaPtI6, computed with GGA-PBE.

Cell: 12.170 9.464 12.060 Å, 90.00 90.83 90.00°
Space group C2/c (No. 15)
One atom of each set of equivalent atoms:
1 Ba 0.000 0.008 0.250 [4 per cell]
2 Pt 0.250 0.250 0.500 [4 per cell]
3 I 0.064 0.326 0.387 [8 per cell]
4 I 0.148 0.306 0.693 [8 per cell]
5 I 0.178 0.022 0.005 [8 per cell]

The calculation puts the uncorrected formation energy at -743 meV per atom. The total energy comes out at -2.901 eV/atom. Its size of the total moment is 0.0 μB/cell. The polymorph energy (0 for the lowest one) is 0 meV per atom.



(4)
An optimized crystal structure of ReMo2H, computed with GGA-PBE.

Cell: 2.813 2.813 6.369 Å, 90.00 90.00 90.00°
Space group P4/mmm (No. 123)
One atom of each set of equivalent atoms:
1 Re 0.000 0.000 0.000 [1 per cell]
2 Mo 0.500 0.500 0.299 [2 per cell]
3 H 0.000 0.000 0.500 [1 per cell]

The density of states at the Fermi level comes out at 2.1 states/eV/f.u. The total energy comes out at -8.965 eV/atom. Its size of the total moment is 0.0 μB/cell. The polymorph energy (0 for the lowest one) is 313 meV per atom.